No. 1
VASP calculation (PBE-GGA) on an optimized crystal structure of ZnCrGa2Se6.

Values from the calculation:
The crystal system is monoclinic. The value obtained for the raw formation energy is -445 meV per atom.

a = 6.6994 Å, b = 8.3889 Å, c = 8.3889 Å
α = 86.65°, β = 80.59°, γ = 80.59°
Last column: nearest neighbours and their distance in Å.
Element x y z (fractional)
1 Zn 0.2500 0.2521 0.7479  6 Se 2.63-2.66
2 Zn 0.7500 0.7479 0.2521  6 Se 2.63-2.66
3 Cr 0.2500 0.9113 0.0887  6 Se 2.52-2.61
4 Cr 0.7500 0.0887 0.9113  6 Se 2.52-2.61
5 Ga 0.1934 0.7781 0.5899  4 Se 2.42-2.48
6 Ga 0.3066 0.4101 0.2219  4 Se 2.42-2.48
7 Ga 0.8066 0.2219 0.4101  4 Se 2.42-2.48
8 Ga 0.6934 0.5899 0.7781  4 Se 2.42-2.48
9 Se 0.1204 0.9727 0.8114  1 Ga 2.48, 2 Cr 2.54-2.61, 1 Zn 2.63
10 Se 0.3796 0.1886 0.0273  1 Ga 2.48, 2 Cr 2.54-2.61, 1 Zn 2.63
11 Se 0.8796 0.0273 0.1886  1 Ga 2.48, 2 Cr 2.54-2.61, 1 Zn 2.63
12 Se 0.6204 0.8114 0.9727  1 Ga 2.48, 2 Cr 2.54-2.61, 1 Zn 2.63
13 Se 0.3769 0.9041 0.3567  1 Ga 2.42, 1 Cr 2.52, 1 Zn 2.66
14 Se 0.1231 0.6433 0.0959  1 Ga 2.42, 1 Cr 2.52, 1 Zn 2.66
15 Se 0.6231 0.0959 0.6433  1 Ga 2.42, 1 Cr 2.52, 1 Zn 2.66
16 Se 0.8769 0.3567 0.9041  1 Ga 2.42, 1 Cr 2.52, 1 Zn 2.66
17 Se 0.8803 0.6990 0.5326  2 Ga 2.43-2.44, 1 Zn 2.63
18 Se 0.6197 0.4674 0.3010  2 Ga 2.43-2.44, 1 Zn 2.63
19 Se 0.1197 0.3010 0.4674  2 Ga 2.43-2.44, 1 Zn 2.63
20 Se 0.3803 0.5326 0.6990  2 Ga 2.43-2.44, 1 Zn 2.63

No. 2
VASP calculation (PBE-GGA) on an optimized crystal structure of Ba2Na2In.

Values from the calculation:
The crystal system is tetragonal. The value obtained for the formation energy from the elements is -0.04 eV/atom. The energy above the most stable polymorph in this dataset comes out at 151 meV per atom.

a = 8.4075 Å, b = 8.4075 Å, c = 5.7919 Å
α = 90.00°, β = 90.00°, γ = 90.00°
Last column: nearest neighbours and their distance in Å.
Element x y z (fractional)
1 Na 0.3687 0.8687 0.0000  1 Na 3.12, 2 In 3.29
2 Na 0.8687 0.6313 0.0000  1 Na 3.12, 2 In 3.29
3 Na 0.6313 0.1313 0.0000  1 Na 3.12, 2 In 3.29
4 Na 0.1313 0.3687 0.0000  1 Na 3.12, 2 In 3.29
5 Ba 0.1941 0.6941 0.5000  2 Na 3.56
6 Ba 0.6941 0.8059 0.5000  2 Na 3.56
7 Ba 0.8059 0.3059 0.5000  2 Na 3.56
8 Ba 0.3059 0.1941 0.5000  2 Na 3.56
9 In 0.0000 0.0000 0.0000  4 Na 3.29
10 In 0.5000 0.5000 0.0000  4 Na 3.29

No. 3
VASP calculation (PBE-GGA) on an optimized crystal structure of CaCSN2.

Values from the calculation:
The crystal system is tetragonal. The value obtained for the raw formation energy is 2760 meV per atom. The energy above the most stable polymorph in this dataset comes out at 1327 meV per atom.

a = 4.5634 Å, b = 4.5634 Å, c = 5.7127 Å
α = 90.00°, β = 90.00°, γ = 90.00°
Last column: nearest neighbours and their distance in Å.
Element x y z (fractional)
1 C 0.5000 0.5000 0.5000  4 S 3.23
2 Ca 0.0000 0.0000 0.0000  4 N 2.28
3 S 0.0000 0.0000 0.5000  2 Ca 2.86
4 N 0.0000 0.5000 0.0000  2 Ca 2.28
5 N 0.5000 0.0000 0.0000  2 Ca 2.28

No. 4
VASP calculation (PBE-GGA) on an optimized crystal structure of HfZnN3.

Values from the calculation:
The crystal system is cubic. The value obtained for the raw formation energy is 820 meV per atom.

a = 3.7399 Å, b = 3.7399 Å, c = 3.7399 Å
α = 90.00°, β = 90.00°, γ = 90.00°
Last column: nearest neighbours and their distance in Å.
Element x y z (fractional)
1 Zn 0.0000 0.0000 0.0000  6 N 1.87
2 Hf 0.5000 0.5000 0.5000  12 N 2.64
3 N 0.0000 0.5000 0.0000  2 Zn 1.87
4 N 0.0000 0.0000 0.5000  2 Zn 1.87
5 N 0.5000 0.0000 0.0000  2 Zn 1.87

No. 5
VASP calculation (PBE-GGA) on an optimized crystal structure of MoPRu.

Values from the calculation:
The crystal system is monoclinic. The value obtained for the formation energy from the elements is -0.32 eV/atom. The energy above the most stable polymorph in this dataset comes out at 215 meV per atom.

a = 6.4725 Å, b = 3.0785 Å, c = 8.6958 Å
α = 90.00°, β = 91.58°, γ = 90.00°
Last column: nearest neighbours and their distance in Å.
Element x y z (fractional)
1 Mo 0.7651 0.0000 0.2867  2 P 2.38, 3 Ru 2.53-2.66
2 Mo 0.7651 0.5000 0.7867  2 P 2.38, 3 Ru 2.53-2.66
3 Mo 0.4493 0.0000 0.5781  5 P 2.45-2.51
4 Mo 0.4493 0.5000 0.0781  5 P 2.45-2.51
5 P 0.1563 0.0000 0.1412  5 Ru 2.34-2.55, 2 Mo 2.51
6 P 0.1563 0.5000 0.6412  5 Ru 2.34-2.55, 2 Mo 2.51
7 P 0.5075 0.0000 0.8646  1 Ru 2.31, 5 Mo 2.38-2.51
8 P 0.5075 0.5000 0.3646  1 Ru 2.31, 5 Mo 2.38-2.51
9 Ru 0.1508 0.0000 0.8482  4 P 2.31-2.55
10 Ru 0.1508 0.5000 0.3482  4 P 2.31-2.55
11 Ru 0.9019 0.0000 0.5624  2 P 2.34, 1 Mo 2.53
12 Ru 0.9019 0.5000 0.0624  2 P 2.34, 1 Mo 2.53

No. 6
VASP calculation (PBE-GGA) on an optimized crystal structure of BaRe2Sn.

Values from the calculation:
The crystal system is cubic. The value obtained for the formation energy from the elements is 1.30 eV/atom.

a = 4.9593 Å, b = 4.9593 Å, c = 4.9593 Å
α = 60.00°, β = 60.00°, γ = 60.00°
Last column: nearest neighbours and their distance in Å.
Element x y z (fractional)
1 Re 0.7500 0.7500 0.7500  4 Sn 3.04, 4 Re 3.04
2 Re 0.0000 0.0000 0.0000  4 Ba 3.04, 4 Re 3.04
3 Ba 0.2500 0.2500 0.2500  4 Sn 3.04, 4 Re 3.04
4 Sn 0.5000 0.5000 0.5000  4 Re 3.04, 4 Ba 3.04

Number 1: E_tot -84.6 eV for the cell shown, total magnetic moment 2.5 μB/f.u.. Number 2: E_tot -18.9 eV for the cell shown, total magnetic moment 0.0 μB/f.u.. Number 3: E_tot -18.2 eV for the cell shown, total magnetic moment 5.6 μB/f.u.. Number 4: E_tot -32.1 eV for the cell shown, total magnetic moment 0.0 μB/f.u.. Number 5: E_tot -105.9 eV for the cell shown, total magnetic moment 0.0 μB/f.u.. Number 6: E_tot -25.6 eV for the cell shown, total magnetic moment 0.0 μB/f.u..